# 1
This record from the Alexandria database describes a geometry-optimized LaTe2Pt structure. The functional is PBE-GGA.

Cell and atoms, written as POSCAR:
```
LaTe2Pt
1.0
4.9728 0.0000 0.0000
0.0000 4.9728 0.0000
0.0000 0.0000 4.0439
La Te Pt
1 2 1
direct
0.0000 0.0000 0.0000
0.0000 0.5000 0.5000
0.5000 0.0000 0.5000
0.5000 0.5000 0.0000
```

Computed properties:
Magnetic moment ... 0.0000 μB per atom
V ... 100.0 Å³/cell
DFT total energy ... -0.18803 hartree per atom
Space-group type ... P4/mmm, No. 123



# 2
This record from the Alexandria database describes a geometry-optimized La2TePt structure. The functional is PBE-GGA.

Cell and atoms, written as POSCAR:
```
La2TePt
1.0
4.3067 0.0000 0.0000
-2.1533 3.7297 0.0000
0.0000 0.0000 23.2744
La Te Pt
6 3 3
direct
0.0000 0.0000 0.2383
0.0000 0.0000 0.7617
0.3333 0.6667 0.4283
0.3333 0.6667 0.9050
0.6667 0.3333 0.0950
0.6667 0.3333 0.5717
0.0000 0.0000 0.0000
0.3333 0.6667 0.6667
0.6667 0.3333 0.3333
0.0000 0.0000 0.5000
0.3333 0.6667 0.1667
0.6667 0.3333 0.8333
```

Computed properties:
Magnetic moment ... 0.0000 μB per atom
V ... 373.8 Å³/cell
DFT total energy ... -0.22535 hartree per atom
Space-group type ... R-3m, No. 166



# 3
This record from the Alexandria database describes a geometry-optimized La6Te5Pt structure. The functional is PBE-GGA.

Cell and atoms, written as POSCAR:
```
La6Te5Pt
1.0
3.9551 -6.8049 0.0000
3.9551 6.8049 0.0000
-2.6513 0.0000 7.4023
La Te Pt
6 5 1
direct
0.0761 0.3876 0.2327
0.2327 0.2327 0.7548
0.3876 0.0761 0.2327
0.6124 0.9239 0.7673
0.7673 0.7673 0.2452
0.9239 0.6124 0.7673
0.1783 0.8217 0.5000
0.3356 0.6644 0.0000
0.5000 0.5000 0.5000
0.6644 0.3356 0.0000
0.8217 0.1783 0.5000
0.0000 0.0000 0.0000
```

Computed properties:
Magnetic moment ... 0.0000 μB per atom
V ... 398.5 Å³/cell
DFT total energy ... -0.21322 hartree per atom
Space-group type ... C2/m, No. 12



# 4
This record from the Alexandria database describes a geometry-optimized La2TePt structure. The functional is PBE-GGA.

Cell and atoms, written as POSCAR:
```
La2TePt
1.0
4.6283 0.0000 0.0000
0.0000 6.0625 0.0000
0.0000 0.0000 8.1482
La Te Pt
4 2 2
direct
0.0000 0.0000 0.2303
0.0000 0.0000 0.7697
0.5000 0.5000 0.2697
0.5000 0.5000 0.7303
0.0000 0.5000 0.0000
0.5000 0.0000 0.5000
0.0000 0.5000 0.5000
0.5000 0.0000 0.0000
```

Computed properties:
Magnetic moment ... 0.0000 μB per atom
V ... 228.6 Å³/cell
DFT total energy ... -0.21551 hartree per atom
Space-group type ... Immm, No. 71



# 5
This record from the Alexandria database describes a geometry-optimized LaTe2Pt structure. The functional is PBE-GGA.

Cell and atoms, written as POSCAR:
```
LaTe2Pt
1.0
4.1523 0.0000 0.0000
0.0000 4.1523 0.0000
0.0000 0.0000 6.2198
La Te Pt
1 2 1
direct
0.0000 0.0000 0.0000
0.5000 0.5000 0.2577
0.5000 0.5000 0.7423
0.0000 0.0000 0.5000
```

Computed properties:
Magnetic moment ... 0.0000 μB per atom
V ... 107.2 Å³/cell
DFT total energy ... -0.17509 hartree per atom
Space-group type ... P4/mmm, No. 123



# 6
This record from the Alexandria database describes a geometry-optimized LaTePt3 structure. The functional is PBE-GGA.

Cell and atoms, written as POSCAR:
```
LaTePt3
1.0
5.2188 0.0000 0.0000
0.0000 5.2188 0.0000
0.0000 0.0000 5.2188
La Te Pt
1 1 3
direct
0.0000 0.0000 0.0000
0.5000 0.5000 0.5000
0.0000 0.0000 0.5000
0.0000 0.5000 0.0000
0.5000 0.0000 0.0000
```

Computed properties:
Magnetic moment ... 0.0000 μB per atom
V ... 142.1 Å³/cell
DFT total energy ... -0.16217 hartree per atom
Space-group type ... Pm-3m, No. 221



# 7
This record from the Alexandria database describes a geometry-optimized LaTePt2 structure. The functional is PBE-GGA.

Cell and atoms, written as POSCAR:
```
LaTePt2
1.0
4.1605 0.0000 0.0000
0.0000 4.1605 0.0000
0.0000 0.0000 10.4544
La Te Pt
2 2 4
direct
0.0000 0.0000 0.0000
0.5000 0.5000 0.5000
0.0000 0.5000 0.2500
0.5000 0.0000 0.7500
0.0000 0.0000 0.5000
0.0000 0.5000 0.7500
0.5000 0.0000 0.2500
0.5000 0.5000 0.0000
```

Computed properties:
Magnetic moment ... 0.0000 μB per atom
V ... 181.0 Å³/cell
DFT total energy ... -0.20815 hartree per atom
Space-group type ... I-4m2, No. 119



# 8
This record from the Alexandria database describes a geometry-optimized LaTePt2 structure. The functional is PBE-GGA.

Cell and atoms, written as POSCAR:
```
LaTePt2
1.0
5.1558 0.0000 0.0000
0.0000 5.1558 0.0000
0.0000 0.0000 16.5230
La Te Pt
4 4 8
direct
0.0000 0.0000 0.0000
0.0000 0.5000 0.2500
0.5000 0.0000 0.7500
0.5000 0.5000 0.5000
0.0000 0.0000 0.5000
0.0000 0.5000 0.7500
0.5000 0.0000 0.2500
0.5000 0.5000 0.0000
0.1606 0.2500 0.6250
0.2500 0.6606 0.8750
0.2500 0.8394 0.3750
0.3394 0.2500 0.1250
0.6606 0.7500 0.1250
0.7500 0.1606 0.3750
0.7500 0.3394 0.8750
0.8394 0.7500 0.6250
```

Computed properties:
Magnetic moment ... 0.0000 μB per atom
V ... 439.2 Å³/cell
DFT total energy ... -0.20780 hartree per atom
Space-group type ... I-42d, No. 122



# 9
This record from the Alexandria database describes a geometry-optimized La2TePt structure. The functional is PBE-GGA.

Cell and atoms, written as POSCAR:
```
La2TePt
1.0
7.4661 0.0000 0.0000
0.0000 7.4661 0.0000
0.0000 0.0000 7.4661
La Te Pt
8 4 4
direct
0.0000 0.0000 0.0000
0.0000 0.5000 0.5000
0.2500 0.2500 0.2500
0.2500 0.7500 0.7500
0.5000 0.0000 0.5000
0.5000 0.5000 0.0000
0.7500 0.2500 0.7500
0.7500 0.7500 0.2500
0.0000 0.0000 0.5000
0.0000 0.5000 0.0000
0.5000 0.0000 0.0000
0.5000 0.5000 0.5000
0.2500 0.2500 0.7500
0.2500 0.7500 0.2500
0.7500 0.2500 0.2500
0.7500 0.7500 0.7500
```

Computed properties:
Magnetic moment ... 0.0000 μB per atom
V ... 416.2 Å³/cell
DFT total energy ... -0.19374 hartree per atom
Space-group type ... F-43m, No. 216



# 10
This record from the Alexandria database describes a geometry-optimized LaTePt structure. The functional is PBE-GGA.

Cell and atoms, written as POSCAR:
```
LaTePt
1.0
4.7485 0.0000 0.0000
-2.3742 4.1123 0.0000
0.0000 0.0000 8.6710
La Te Pt
2 2 2
direct
0.0000 0.0000 0.2299
0.0000 0.0000 0.7701
0.3333 0.6667 0.0000
0.6667 0.3333 0.5000
0.3333 0.6667 0.3427
0.3333 0.6667 0.6573
```

Computed properties:
Magnetic moment ... 0.0000 μB per atom
V ... 169.3 Å³/cell
DFT total energy ... -0.21471 hartree per atom
Space-group type ... P-6m2, No. 187



# 11
This record from the Alexandria database describes a geometry-optimized LaTePt2 structure. The functional is PBE-GGA.

Cell and atoms, written as POSCAR:
```
LaTePt2
1.0
4.3584 0.0000 0.0000
0.0000 4.4940 0.0000
0.0000 0.0000 4.5154
La Te Pt
1 1 2
direct
0.0000 0.0000 0.0000
0.0000 0.5000 0.5000
0.5000 0.0000 0.5000
0.5000 0.5000 0.0000
```

Computed properties:
Magnetic moment ... 0.0000 μB per atom
V ... 88.4 Å³/cell
DFT total energy ... -0.20993 hartree per atom
Space-group type ... Pmmm, No. 47



# 12
This record from the Alexandria database describes a geometry-optimized La2TePt structure. The functional is PBE-GGA.

Cell and atoms, written as POSCAR:
```
La2TePt
1.0
4.2961 0.0000 0.0000
-2.1480 3.7205 0.0000
0.0000 0.0000 15.6958
La Te Pt
4 2 2
direct
0.3333 0.6667 0.1063
0.3333 0.6667 0.3937
0.6667 0.3333 0.6063
0.6667 0.3333 0.8937
0.3333 0.6667 0.7500
0.6667 0.3333 0.2500
0.0000 0.0000 0.0000
0.0000 0.0000 0.5000
```

Computed properties:
Magnetic moment ... 0.0000 μB per atom
V ... 250.9 Å³/cell
DFT total energy ... -0.22494 hartree per atom
Space-group type ... P6_3/mmc, No. 194